CoRu2Cl after structural relaxation, computed with PBE.

Cell lengths 2.8093, 2.8582, 7.3753 Å; angles 90.00, 90.00, 90.00 degrees
With the nearest neighbours (Å) after each atom.
Positions (direct):
Co (0.0000, 0.0000, 0.0000)  2 Cl 2.39, 4 Ru 2.62
Ru (0.0000, 0.0000, 0.4546)  2 Cl 2.52, 6 Ru 2.60-2.81
Ru (0.5000, 0.5000, 0.2290)  8 Ru 2.60-2.86, 4 Co 2.62
Cl (0.5000, 0.0000, 0.7386)  2 Co 2.39, 2 Ru 2.52

SG: Pmm2 (25)
Energy relative to the elements, uncorrected in eV per atom: 0.35

---

Cd5Ag3 after structural relaxation, computed with PBE.

Cell lengths 3.3078, 3.3078, 14.6070 Å; angles 90.00, 90.00, 90.00 degrees
With the nearest neighbours (Å) after each atom.
Positions (direct):
Cd (0.0000, 0.0000, 0.0000)  8 Ag 2.93
Cd (0.0000, 0.0000, 0.2425)  4 Ag 2.94, 4 Cd 3.07
Cd (0.0000, 0.0000, 0.7575)  4 Ag 2.94, 4 Cd 3.07
Cd (0.5000, 0.5000, 0.3783)  4 Ag 2.94, 4 Cd 3.07
Cd (0.5000, 0.5000, 0.6217)  4 Ag 2.94, 4 Cd 3.07
Ag (0.0000, 0.0000, 0.5000)  8 Cd 2.94
Ag (0.5000, 0.5000, 0.1210)  8 Cd 2.93-2.94
Ag (0.5000, 0.5000, 0.8790)  8 Cd 2.93-2.94

SG: P4/mmm (123)
Formation energy from the elements in eV/atom: -0.0300

---

Er2Pu2Al15 after structural relaxation, computed with PBE.

Cell lengths 7.2025, 7.2025, 7.2025 Å; angles 83.32, 83.32, 83.32 degrees
With the nearest neighbours (Å) after each atom.
Positions (direct):
Er (0.1088, 0.1088, 0.1088)  12 Al 2.88-3.18, 1 Er 3.01
Er (0.8912, 0.8912, 0.8912)  12 Al 2.88-3.18, 1 Er 3.01
Pu (0.3543, 0.3543, 0.3543)  12 Al 3.20-3.52, 1 Er 3.40
Pu (0.6457, 0.6457, 0.6457)  12 Al 3.20-3.52, 1 Er 3.40
Al (0.0000, 0.0000, 0.5000)  8 Al 2.72-2.82, 2 Er 2.88
Al (0.0000, 0.2925, 0.7075)  8 Al 2.72-2.96
Al (0.0000, 0.5000, 0.0000)  8 Al 2.72-2.82, 2 Er 2.88
Al (0.0000, 0.7075, 0.2925)  8 Al 2.72-2.96
Al (0.1576, 0.6425, 0.6425)  8 Al 2.73-2.96, 1 Er 3.04
Al (0.2925, 0.0000, 0.7075)  8 Al 2.72-2.96
Al (0.2925, 0.7075, 0.0000)  8 Al 2.72-2.96
Al (0.3575, 0.3575, 0.8424)  8 Al 2.73-2.96, 1 Er 3.04
Al (0.3575, 0.8424, 0.3575)  8 Al 2.73-2.96, 1 Er 3.04
Al (0.5000, 0.0000, 0.0000)  8 Al 2.72-2.82, 2 Er 2.88
Al (0.6425, 0.1576, 0.6425)  8 Al 2.73-2.96, 1 Er 3.04
Al (0.6425, 0.6425, 0.1576)  8 Al 2.73-2.96, 1 Er 3.04
Al (0.7075, 0.0000, 0.2925)  8 Al 2.72-2.96
Al (0.7075, 0.2925, 0.0000)  8 Al 2.72-2.96
Al (0.8424, 0.3575, 0.3575)  8 Al 2.73-2.96, 1 Er 3.04

SG: R-3m (166)
Formation energy from the elements in eV/atom: -0.1846

---

no.,DOS(E_F) (states/eV/f.u.)
1,5.65
2,2.00
3,24.75